DFT (PBE) results for a relaxed Cs2ErRhO4 crystal.

Space group = Fddd, No. 70
Formation energy without anion corrections = -1.444 eV/atom
Total magnetic moment = 0.00 μB per atom

Unit cell a=13.0868 b=11.7683 c=7.0844 alpha=84.00 beta=63.42 gamma=32.57
Last column: nearest neighbours and their distance in Å.
Fractional positions:
Cs (0.0568, 0.0568, 0.6932)  2 O 3.24
Cs (0.3068, 0.3068, 0.9432)  2 O 3.24
Cs (0.6932, 0.6932, 0.0568)  2 O 3.24
Cs (0.9432, 0.9432, 0.3068)  2 O 3.24
Er (0.1250, 0.1250, 0.1250)  4 O 2.10
Er (0.8750, 0.8750, 0.8750)  4 O 2.10
Rh (0.3750, 0.3750, 0.3750)  4 O 2.02
Rh (0.6250, 0.6250, 0.6250)  4 O 2.02
O (0.0088, 0.6618, 0.5678)  1 Rh 2.02, 1 Er 2.10
O (0.2616, 0.5678, 0.6618)  1 Rh 2.02, 1 Er 2.10
O (0.3382, 0.9912, 0.7384)  1 Rh 2.02, 1 Er 2.10
O (0.4322, 0.7384, 0.9912)  1 Rh 2.02, 1 Er 2.10
O (0.5678, 0.2616, 0.0088)  1 Rh 2.02, 1 Er 2.10
O (0.6618, 0.0088, 0.2616)  1 Rh 2.02, 1 Er 2.10
O (0.7384, 0.4322, 0.3382)  1 Rh 2.02, 1 Er 2.10
O (0.9912, 0.3382, 0.4322)  1 Rh 2.02, 1 Er 2.10

---

DFT (PBE) results for a relaxed CsEr2RuO8 crystal.

Space group = P-1, No. 2
Formation energy without anion corrections = -1.845 eV/atom
Total magnetic moment = 0.08 μB per atom

Unit cell a=4.6587 b=4.6858 c=7.8205 alpha=95.99 beta=96.29 gamma=96.04
Last column: nearest neighbours and their distance in Å.
Fractional positions:
Cs (0.0000, 0.0000, 0.0000)  6 O 2.73-3.01
Er (0.4466, 0.4482, 0.7161)  6 O 2.23-2.41
Er (0.5534, 0.5518, 0.2839)  6 O 2.23-2.41
Ru (0.0000, 0.0000, 0.5000)  6 O 1.90-1.94
O (0.0877, 0.7097, 0.3243)  1 Ru 1.94
O (0.2806, 0.2790, 0.4356)  1 Ru 1.90
O (0.2909, 0.9124, 0.6770)  1 Ru 1.94
O (0.3911, 0.6061, 0.0002)  1 O 1.49
O (0.6089, 0.3939, 0.9998)  1 O 1.49
O (0.7091, 0.0876, 0.3230)  1 Ru 1.94
O (0.7194, 0.7210, 0.5644)  1 Ru 1.90
O (0.9123, 0.2903, 0.6757)  1 Ru 1.94

---

DFT (PBE) results for a relaxed CsErRuO6 crystal.

Space group = P312, No. 149
Formation energy without anion corrections = -1.538 eV/atom
Total magnetic moment = 0.00 μB per atom

Unit cell a=5.6376 b=5.6376 c=6.4835 alpha=90.00 beta=90.00 gamma=120.00
Last column: nearest neighbours and their distance in Å.
Fractional positions:
Cs (0.0000, 0.0000, 0.0000)  6 O 3.11
Er (0.3333, 0.6667, 0.5000)  6 O 2.23
Ru (0.6667, 0.3333, 0.5000)  6 O 1.89
O (0.4214, 0.0440, 0.6719)  1 Ru 1.89
O (0.4214, 0.3774, 0.3281)  1 Ru 1.89
O (0.6226, 0.0440, 0.3281)  1 Ru 1.89
O (0.6226, 0.5786, 0.6719)  1 Ru 1.89
O (0.9560, 0.3774, 0.6719)  1 Ru 1.89
O (0.9560, 0.5786, 0.3281)  1 Ru 1.89